(1)
Here is crystalline CaTb2Pm6Pr3 at its relaxed geometry from the Alexandria database. Energies are from PBE.

Results
* density of states at the Fermi level: 17.8 states/eV/cell
* space group: C2/m, No. 12
* formation enthalpy at 0 K: 40 meV per atom
* V: 419 Å³/cell
* final energy: -4.469 eV/atom

```
CaTb2Pm6Pr3
1.0
3.1833 -5.5185 0.0000
3.1833 5.5185 0.0000
-2.1187 0.0000 11.9174
Ca Tb Pm Pr
1 2 6 3
direct
0.0000 0.0000 0.0000
0.3332 0.6668 0.0000
0.6668 0.3332 0.0000
0.0839 0.4244 0.2485
0.2563 0.2563 0.7510
0.4244 0.0839 0.2485
0.5756 0.9161 0.7515
0.7437 0.7437 0.2490
0.9161 0.5756 0.7515
0.1662 0.8338 0.5000
0.5000 0.5000 0.5000
0.8338 0.1662 0.5000
```

(2)
Here is crystalline Ca4Pm3PrTe8 at its relaxed geometry from the Alexandria database. Energies are from PBE.

Results
* density of states at the Fermi level: 6.1 states/eV/cell
* space group: R-3m, No. 166
* V: 512 Å³/cell
* formation energy (no corrections): -1.51 eV per atom
* final energy: -4.773 eV/atom

```
Ca4Pm3PrTe8
1.0
4.4483 2.5682 7.4705
-4.4483 2.5682 7.4705
0.0000 -5.1365 7.4705
Ca Pm Pr Te
4 3 1 8
direct
0.0000 0.0000 0.0000
0.0000 0.5000 0.5000
0.5000 0.0000 0.5000
0.5000 0.5000 0.0000
0.0000 0.0000 0.5000
0.0000 0.5000 0.0000
0.5000 0.0000 0.0000
0.5000 0.5000 0.5000
0.2473 0.2473 0.7509
0.2473 0.7509 0.2473
0.2491 0.7527 0.7527
0.2509 0.2509 0.2509
0.7491 0.7491 0.7491
0.7509 0.2473 0.2473
0.7527 0.2491 0.7527
0.7527 0.7527 0.2491
```

(3)
Here is crystalline Ca3PmPr3Te8 at its relaxed geometry from the Alexandria database. Energies are from PBE.

Results
* density of states at the Fermi level: 5.0 states/eV/cell
* space group: R-3m, No. 166
* V: 519 Å³/cell
* formation energy (no corrections): -1.52 eV per atom
* final energy: -4.873 eV/atom

```
Ca3PmPr3Te8
1.0
4.4893 2.5919 7.4285
-4.4893 2.5919 7.4285
0.0000 -5.1838 7.4285
Ca Pm Pr Te
3 1 3 8
direct
0.0000 0.5000 0.5000
0.5000 0.0000 0.5000
0.5000 0.5000 0.0000
0.5000 0.5000 0.5000
0.0000 0.0000 0.5000
0.0000 0.5000 0.0000
0.5000 0.0000 0.0000
0.2494 0.2494 0.7483
0.2494 0.7483 0.2494
0.2521 0.2521 0.2521
0.2517 0.7506 0.7506
0.7483 0.2494 0.2494
0.7479 0.7479 0.7479
0.7506 0.2517 0.7506
0.7506 0.7506 0.2517
```

(4)
Here is crystalline CaPm3Pr2Te6 at its relaxed geometry from the Alexandria database. Energies are from PBE.

Results
* density of states at the Fermi level: 6.0 states/eV/cell
* space group: C2/m, No. 12
* V: 385 Å³/cell
* formation energy (no corrections): -1.46 eV per atom
* final energy: -5.178 eV/atom

```
CaPm3Pr2Te6
1.0
9.8070 -2.2381 0.0000
9.8070 2.2381 0.0000
-2.0853 0.0000 8.7807
Ca Pm Pr Te
1 3 2 6
direct
0.0000 0.0000 0.0000
0.0000 0.0000 0.5000
0.3300 0.3300 0.1705
0.6700 0.6700 0.8295
0.3285 0.3285 0.6587
0.6715 0.6715 0.3413
0.1629 0.1629 0.5852
0.1640 0.1640 0.0780
0.4995 0.4995 0.2468
0.5005 0.5005 0.7532
0.8360 0.8360 0.9220
0.8371 0.8371 0.4148
```

(5)
Here is crystalline Ca2PmPrTe4 at its relaxed geometry from the Alexandria database. Energies are from PBE.

Results
* density of states at the Fermi level: 3.7 states/eV/cell
* space group: I-4m2, No. 119
* V: 258 Å³/cell
* formation energy (no corrections): -1.51 eV per atom
* final energy: -4.776 eV/atom

```
Ca2PmPrTe4
1.0
-3.1830 3.1830 6.3657
3.1830 -3.1830 6.3657
3.1830 3.1830 -6.3657
Ca Pm Pr Te
2 1 1 4
direct
0.0000 0.0000 0.0000
0.7500 0.2500 0.5000
0.2500 0.7500 0.5000
0.5000 0.5000 0.0000
0.2459 0.2459 0.0000
0.5020 0.0020 0.5000
0.7541 0.7541 0.0000
0.9980 0.4980 0.5000
```

(6)
Here is crystalline Ca2PmPr3Te6 at its relaxed geometry from the Alexandria database. Energies are from PBE.

Results
* density of states at the Fermi level: 6.2 states/eV/cell
* space group: C2/m, No. 12
* V: 389 Å³/cell
* formation energy (no corrections): -1.49 eV per atom
* final energy: -4.983 eV/atom

```
Ca2PmPr3Te6
1.0
3.8772 -6.7227 0.0000
3.8772 6.7227 0.0000
-2.5964 0.0000 7.4619
Ca Pm Pr Te
2 1 3 6
direct
0.1668 0.8332 0.0000
0.8332 0.1668 0.0000
0.5000 0.5000 0.0000
0.0000 0.0000 0.5000
0.3317 0.6683 0.5000
0.6683 0.3317 0.5000
0.0840 0.4194 0.7587
0.2461 0.2461 0.2444
0.4194 0.0840 0.7587
0.5806 0.9160 0.2413
0.7539 0.7539 0.7556
0.9160 0.5806 0.2413
```

(7)
Here is crystalline CaPm4Pr3Te8 at its relaxed geometry from the Alexandria database. Energies are from PBE.

Results
* density of states at the Fermi level: 9.8 states/eV/cell
* space group: R-3m, No. 166
* V: 514 Å³/cell
* formation energy (no corrections): -1.44 eV per atom
* final energy: -5.219 eV/atom

```
CaPm4Pr3Te8
1.0
4.5010 2.5987 7.3280
-4.5010 2.5987 7.3280
0.0000 -5.1973 7.3280
Ca Pm Pr Te
1 4 3 8
direct
0.0000 0.0000 0.0000
0.0000 0.0000 0.5000
0.0000 0.5000 0.0000
0.5000 0.0000 0.0000
0.5000 0.5000 0.5000
0.0000 0.5000 0.5000
0.5000 0.0000 0.5000
0.5000 0.5000 0.0000
0.2449 0.7517 0.7517
0.2483 0.2483 0.2483
0.2483 0.2483 0.7551
0.2483 0.7551 0.2483
0.7517 0.2449 0.7517
0.7517 0.7517 0.2449
0.7517 0.7517 0.7517
0.7551 0.2483 0.2483
```

(8)
Here is crystalline CaPmPrTh at its relaxed geometry from the Alexandria database. Energies are from PBE.

Results
* density of states at the Fermi level: 8.7 states/eV/cell
* space group: F-43m, No. 216
* formation enthalpy at 0 K: 218 meV per atom
* V: 141 Å³/cell
* final energy: -4.519 eV/atom
* polymorph energy (0 for the lowest one): 184 meV per atom

```
CaPmPrTh
1.0
0.0000 4.1275 4.1275
4.1275 0.0000 4.1275
4.1275 4.1275 0.0000
Ca Pm Pr Th
1 1 1 1
direct
0.0000 0.0000 0.0000
0.7500 0.7500 0.7500
0.2500 0.2500 0.2500
0.5000 0.5000 0.5000
```